a.
Tl2Mo | PBE | optimized geometry

Cell and atoms, written as extended XYZ:
```
9
Lattice="-4.083 7.406 1.871 2.815 -1.478 -8.056 -2.706 -1.314 -0.705" Properties=species:S:1:pos:R:3 pbc="T T T"
Mo 0.516 1.483 -4.747
Mo -1.353 -0.657 -0.352
Mo -1.783 4.445 -1.438
Tl -1.864 1.731 -2.844
Tl -1.130 2.050 0.518
Tl -3.791 3.766 0.765
Tl -0.917 4.287 -4.473
Tl 0.328 -1.539 -5.164
Tl 0.779 -0.409 -2.230
```

Properties
space-group type: P-62m, No. 189
crystal system: hexagonal
Fermi-level density of states: 0.72 states/eV per atom

---

b.
Tl2Mo | PBE | optimized geometry

Cell and atoms, written as extended XYZ:
```
12
Lattice="6.775 0.000 0.000 0.000 6.775 0.000 0.000 0.000 6.775" Properties=species:S:1:pos:R:3 pbc="T T T"
Tl 1.694 5.081 5.082
Tl 5.082 5.082 1.693
Tl 1.693 1.694 1.694
Tl 5.082 5.081 5.081
Tl 5.081 1.694 1.693
Tl 1.693 1.693 5.082
Tl 1.694 5.082 1.694
Tl 5.081 1.693 5.081
Mo 3.388 3.388 0.000
Mo 0.000 0.000 0.000
Mo 0.000 3.388 3.388
Mo 3.388 0.000 3.388
```

Properties
space-group type: Fm-3m, No. 225
crystal system: cubic
Fermi-level density of states: 0.82 states/eV per atom

---

Most stable to least stable, the ends of the list are a and b.

---

a.
Tl4Mo5 | PBE | optimized geometry

Cell and atoms, written as extended XYZ:
```
9
Lattice="-4.649 4.649 2.115 4.649 -4.649 2.115 4.649 4.649 -2.115" Properties=species:S:1:pos:R:3 pbc="T T T"
Mo 1.297 -1.297 2.115
Mo 0.000 0.000 0.000
Mo 3.352 3.352 0.000
Mo -1.297 1.297 2.115
Mo 1.297 1.297 2.115
Tl 6.370 0.000 0.000
Tl 0.000 6.370 0.000
Tl 2.929 0.000 0.000
Tl 0.000 2.929 0.000
```

Properties
space-group type: I4/mmm, No. 139
crystal system: tetragonal
Fermi-level density of states: 0.80 states/eV per atom

---

b.
Tl4Mo5 | PBE | optimized geometry

Cell and atoms, written as extended XYZ:
```
18
Lattice="-0.689 -6.055 -5.724 2.823 -1.793 7.662 -5.231 -1.005 1.692" Properties=species:S:1:pos:R:3 pbc="T T T"
Tl -1.563 -2.496 -1.699
Tl -2.615 -0.502 0.846
Tl -4.357 -4.564 -2.333
Tl 0.035 -5.190 1.643
Tl 0.000 0.000 0.000
Tl -2.147 -1.882 6.091
Tl -3.132 -3.662 1.988
Tl -0.261 -0.916 3.263
Mo 0.669 -1.507 5.789
Mo -2.134 -5.136 -0.416
Mo 0.482 -4.634 -1.262
Mo 1.652 -3.213 3.200
Mo -3.077 -1.291 3.566
Mo -1.790 -4.491 -3.585
Mo -2.429 -6.249 2.627
Mo -0.963 -3.716 4.046
Mo -0.668 -2.603 1.004
Mo -4.130 -2.568 -0.447
```

Properties
space-group type: P6_3/mcm, No. 193
crystal system: hexagonal
Fermi-level density of states: 1.17 states/eV per atom

---

Most stable to least stable, the ends of the list are a and b.

---

a.
Tl5Mo | PBE | optimized geometry

Cell and atoms, written as extended XYZ:
```
6
Lattice="2.111 3.333 -4.675 -3.381 -4.983 -1.077 -4.912 3.303 0.137" Properties=species:S:1:pos:R:3 pbc="T T T"
Tl 0.280 0.561 -3.476
Tl -4.146 -0.840 -0.470
Tl -1.550 -2.211 -2.276
Tl -3.091 0.826 -2.807
Tl -1.400 3.318 -2.269
Mo 0.000 0.000 0.000
```

Properties
space-group type: P6/mmm, No. 191
crystal system: hexagonal
Fermi-level density of states: 0.32 states/eV per atom

---

b.
Tl5Mo | PBE | optimized geometry

Cell and atoms, written as extended XYZ:
```
6
Lattice="1.565 5.467 0.018 -1.565 5.467 0.018 0.000 2.440 9.681" Properties=species:S:1:pos:R:3 pbc="T T T"
Tl 0.000 6.036 9.401
Tl 0.000 6.593 2.162
Tl 0.000 3.732 3.743
Tl 0.000 9.016 7.017
Tl 0.000 11.833 5.479
Mo 0.000 3.123 9.410
```

Properties
space-group type: Cm, No. 8
crystal system: monoclinic
Fermi-level density of states: 0.57 states/eV per atom

---

Most stable to least stable, the ends of the list are b and a.

---

a.
TlV2Mo | PBE | optimized geometry

Cell and atoms, written as extended XYZ:
```
8
Lattice="-2.317 6.804 -0.240 -4.382 -1.297 5.552 -1.345 3.498 4.412" Properties=species:S:1:pos:R:3 pbc="T T T"
Tl 0.000 0.000 0.000
Tl -3.506 6.527 3.414
Mo -3.350 2.753 2.656
Mo -4.539 2.477 6.310
V -6.687 7.496 7.724
V -3.706 4.634 5.535
V -3.462 1.200 4.533
V -2.235 4.679 1.657
```

Properties
space-group type: I-42d, No. 122
crystal system: tetragonal
Fermi-level density of states: 1.26 states/eV per atom

---

b.
TlV2Mo | PBE | optimized geometry

Cell and atoms, written as extended XYZ:
```
4
Lattice="0.000 3.190 3.190 3.190 0.000 3.190 3.190 3.190 0.000" Properties=species:S:1:pos:R:3 pbc="T T T"
Tl 3.190 3.190 3.190
V 4.785 4.785 4.785
V 1.595 1.595 1.595
Mo 0.000 0.000 0.000
```

Properties
space-group type: Fm-3m, No. 225
crystal system: cubic
Fermi-level density of states: 1.18 states/eV per atom

---

Most stable to least stable, the ends of the list are b and a.

---

a.
TlVMo2 | PBE | optimized geometry

Cell and atoms, written as extended XYZ:
```
4
Lattice="-2.902 0.587 3.474 -1.941 4.074 0.690 -4.454 0.574 -0.819" Properties=species:S:1:pos:R:3 pbc="T T T"
V 0.000 0.000 0.000
Tl -4.648 2.617 1.673
Mo -6.973 3.926 2.509
Mo -2.324 1.309 0.836
```

Properties
space-group type: Fm-3m, No. 225
crystal system: cubic
Fermi-level density of states: 1.58 states/eV per atom

---

b.
TlVMo2 | PBE | optimized geometry

Cell and atoms, written as extended XYZ:
```
8
Lattice="-3.436 -1.747 0.204 0.436 -1.279 -3.616 2.865 -9.699 1.716" Properties=species:S:1:pos:R:3 pbc="T T T"
V 0.900 -6.246 -1.803
V -1.500 -1.513 -1.706
Mo -1.267 -3.621 0.098
Mo 1.037 -8.450 -0.108
Mo -0.491 -9.881 -1.583
Mo 0.449 -3.498 -1.799
Tl 0.000 0.000 0.000
Tl -1.036 -6.480 0.107
```

Properties
space-group type: I-42d, No. 122
crystal system: tetragonal
Fermi-level density of states: 1.05 states/eV per atom

---

Most stable to least stable, the ends of the list are a and b.

---

a.
TlMo3W | PBE | optimized geometry

Cell and atoms, written as extended XYZ:
```
5
Lattice="4.801 0.000 0.000 0.000 4.801 0.000 0.000 0.000 4.801" Properties=species:S:1:pos:R:3 pbc="T T T"
W 0.000 0.000 0.000
Mo 0.000 0.000 2.401
Mo 2.401 0.000 0.000
Mo 0.000 2.401 0.000
Tl 2.401 2.401 2.401
```

Properties
space-group type: Pm-3m, No. 221
crystal system: cubic
Fermi-level density of states: 1.15 states/eV per atom

---

b.
TlMo3W | PBE | optimized geometry

Cell and atoms, written as extended XYZ:
```
5
Lattice="-4.404 0.112 -2.027 -2.030 -0.344 4.390 -0.043 4.836 0.359" Properties=species:S:1:pos:R:3 pbc="T T T"
Tl 0.000 0.000 0.000
Mo -1.015 -0.172 2.195
Mo -0.021 2.418 0.179
Mo -2.202 0.056 -1.014
W -3.238 2.302 1.361
```

Properties
space-group type: Pm-3m, No. 221
crystal system: cubic
Fermi-level density of states: 2.11 states/eV per atom

---

Most stable to least stable, the ends of the list are a and b.

---

a.
Tl2MoW | PBE | optimized geometry

Cell and atoms, written as extended XYZ:
```
4
Lattice="-2.198 -1.030 -1.732 1.490 -2.124 1.471 -6.166 0.775 7.365" Properties=species:S:1:pos:R:3 pbc="T T T"
W -1.896 -1.383 1.710
Tl -3.096 0.389 3.697
Tl -6.153 0.773 7.349
Mo -4.979 -0.996 5.393
```

Properties
space-group type: Cmmm, No. 65
crystal system: orthorhombic
Fermi-level density of states: 0.72 states/eV per atom

---

b.
Tl2MoW | PBE | optimized geometry

Cell and atoms, written as extended XYZ:
```
4
Lattice="-1.188 0.496 2.939 -2.957 0.197 -1.229 -0.985 -8.404 1.021" Properties=species:S:1:pos:R:3 pbc="T T T"
W -0.542 -4.620 0.561
Tl -2.358 -2.090 1.151
Tl -0.944 -8.055 0.978
Mo -2.764 -5.552 1.571
```

Properties
space-group type: P4mm, No. 99
crystal system: tetragonal
Fermi-level density of states: 0.87 states/eV per atom

---

Most stable to least stable, the ends of the list are b and a.

---

a.
Tl2MoW | PBE | optimized geometry

Cell and atoms, written as extended XYZ:
```
4
Lattice="-1.597 -0.724 2.326 2.306 -1.346 1.165 2.487 7.854 4.153" Properties=species:S:1:pos:R:3 pbc="T T T"
W 0.976 0.928 2.783
Tl 2.480 7.833 4.142
Tl 1.250 3.948 2.088
Mo 2.219 4.855 4.860
```

Properties
space-group type: P4/mmm, No. 123
crystal system: tetragonal
Fermi-level density of states: 1.15 states/eV per atom

---

b.
Tl2MoW | PBE | optimized geometry

Cell and atoms, written as extended XYZ:
```
4
Lattice="-2.846 4.459 -1.223 -2.832 -4.620 -0.336 -0.775 0.272 2.793" Properties=species:S:1:pos:R:3 pbc="T T T"
Mo -1.803 -2.174 1.229
Tl 0.000 0.000 0.000
Tl -2.839 -0.081 -0.780
W -1.810 2.365 0.785
```

Properties
space-group type: Cmmm, No. 65
crystal system: orthorhombic
Fermi-level density of states: 1.15 states/eV per atom

---

Most stable to least stable, the ends of the list are a and b.

---

a.
Tl2MoW | PBE | optimized geometry

Cell and atoms, written as extended XYZ:
```
4
Lattice="-2.002 2.648 5.356 -0.821 -0.076 6.247 3.717 2.350 2.253" Properties=species:S:1:pos:R:3 pbc="T T T"
Mo 0.555 1.272 3.151
W 0.082 2.423 7.294
Tl 0.942 4.863 13.613
Tl 0.656 3.746 10.580
```

Properties
space-group type: Cm, No. 8
crystal system: monoclinic
Fermi-level density of states: 0.96 states/eV per atom

---

b.
Tl2MoW | PBE | optimized geometry

Cell and atoms, written as extended XYZ:
```
4
Lattice="-3.191 -0.582 3.935 -1.961 -3.265 3.391 3.419 0.737 4.103" Properties=species:S:1:pos:R:3 pbc="T T T"
Tl -5.147 -3.844 7.323
Tl -0.870 -1.557 5.717
W -1.299 -2.332 8.572
Mo -0.433 -0.777 2.857
```

Properties
space-group type: C2/m, No. 12
crystal system: monoclinic
Fermi-level density of states: 0.99 states/eV per atom

---

Most stable to least stable, the ends of the list are a and b.

---

a.
Tl2MoW | PBE | optimized geometry

Cell and atoms, written as extended XYZ:
```
8
Lattice="-4.382 -6.332 0.619 6.174 -4.414 -1.438 1.465 -5.492 2.399" Properties=species:S:1:pos:R:3 pbc="T T T"
Tl 2.667 -13.520 1.082
Tl 1.772 -8.149 1.492
Tl 3.677 -4.924 -0.222
Tl -1.600 -5.881 0.807
W 0.000 0.000 0.000
W -1.010 -8.598 1.304
Mo 4.268 -7.639 0.275
Mo 0.896 -5.373 -0.410
```

Properties
space-group type: I-42d, No. 122
crystal system: tetragonal
Fermi-level density of states: 1.06 states/eV per atom

---

b.
Tl2MoW | PBE | optimized geometry

Cell and atoms, written as extended XYZ:
```
4
Lattice="-0.575 4.691 -0.956 -3.182 1.408 -3.339 -4.051 2.253 1.329" Properties=species:S:1:pos:R:3 pbc="T T T"
Tl -1.952 2.088 -0.742
Tl 0.000 0.000 0.000
Mo -3.904 4.176 -1.483
W -5.856 6.264 -2.225
```

Properties
space-group type: F-43m, No. 216
crystal system: cubic
Fermi-level density of states: 0.54 states/eV per atom

---

Most stable to least stable, the ends of the list are b and a.

---

a.
Tl2MoW | PBE | optimized geometry

Cell and atoms, written as extended XYZ:
```
4
Lattice="5.416 0.019 0.000 2.226 4.937 0.000 -3.821 -2.478 2.931" Properties=species:S:1:pos:R:3 pbc="T T T"
W 1.113 2.468 1.465
Mo 2.708 0.010 1.465
Tl 3.821 2.478 0.000
Tl 0.000 0.000 0.000
```

Properties
space-group type: I4/mmm, No. 139
crystal system: tetragonal
Fermi-level density of states: 1.13 states/eV per atom

---

b.
Tl2MoW | PBE | optimized geometry

Cell and atoms, written as extended XYZ:
```
4
Lattice="9.817 -0.006 -0.003 9.284 3.192 -0.003 9.284 1.549 2.792" Properties=species:S:1:pos:R:3 pbc="T T T"
Tl 21.482 3.584 2.107
Tl 28.182 4.701 2.765
Mo 6.740 1.124 0.661
W 14.558 2.429 1.428
```

Properties
space-group type: R3m, No. 160
crystal system: trigonal
Fermi-level density of states: 0.39 states/eV per atom

---

c.
Tl2MoW | PBE | optimized geometry

Cell and atoms, written as extended XYZ:
```
4
Lattice="-1.495 1.534 -2.469 -4.132 -2.614 0.878 -1.513 3.411 3.036" Properties=species:S:1:pos:R:3 pbc="T T T"
Tl -2.814 -0.540 -0.795
Tl 0.000 0.000 0.000
W -1.504 2.473 0.284
Mo -2.823 0.398 1.957
```

Properties
space-group type: Pmmm, No. 47
crystal system: orthorhombic
Fermi-level density of states: 0.71 states/eV per atom

---

Most stable to least stable, the ends of the list are b and a.

---

a.
TlMo2W | PBE | optimized geometry

Cell and atoms, written as extended XYZ:
```
4
Lattice="9.280 0.041 0.024 8.776 3.019 0.024 8.776 1.487 2.628" Properties=species:S:1:pos:R:3 pbc="T T T"
Tl 13.438 2.278 1.340
Mo 26.798 4.542 2.673
Mo 6.926 1.174 0.691
W 19.917 3.376 1.986
```

Properties
space-group type: R3m, No. 160
crystal system: trigonal
Fermi-level density of states: 1.09 states/eV per atom

---

b.
TlMo2W | PBE | optimized geometry

Cell and atoms, written as extended XYZ:
```
8
Lattice="7.529 0.000 0.000 0.000 7.529 0.000 3.765 3.765 2.781" Properties=species:S:1:pos:R:3 pbc="T T T"
Mo 5.647 6.020 2.086
Mo 5.274 1.882 0.695
Mo 2.255 5.647 0.695
Mo 9.412 9.039 2.086
W 3.765 7.529 1.390
W 3.765 3.765 0.000
Tl 7.529 3.765 1.390
Tl 0.000 0.000 0.000
```

Properties
space-group type: I-42d, No. 122
crystal system: tetragonal
Fermi-level density of states: 0.89 states/eV per atom

---

Most stable to least stable, the ends of the list are a and b.

---

a.
TlMo2W | PBE | optimized geometry

Cell and atoms, written as extended XYZ:
```
4
Lattice="3.392 0.000 0.000 0.000 3.392 0.000 0.000 0.000 6.198" Properties=species:S:1:pos:R:3 pbc="T T T"
Mo 0.000 0.000 6.194
Mo 1.696 1.696 1.314
Tl 0.000 0.000 3.087
W 1.696 1.696 4.900
```

Properties
space-group type: P4mm, No. 99
crystal system: tetragonal
Fermi-level density of states: 0.55 states/eV per atom

---

b.
TlMo2W | PBE | optimized geometry

Cell and atoms, written as extended XYZ:
```
4
Lattice="2.870 0.004 0.000 -1.045 2.673 0.000 0.000 0.000 9.257" Properties=species:S:1:pos:R:3 pbc="T T T"
W 0.912 1.338 7.146
Mo 0.000 0.000 0.007
Mo 0.912 1.338 2.121
Tl 0.000 0.000 4.611
```

Properties
space-group type: Cmm2, No. 35
crystal system: orthorhombic
Fermi-level density of states: 0.42 states/eV per atom

---

Most stable to least stable, the ends of the list are b and a.